Compound: TiAlNi2H
Source: Alexandria
Functional: PBE
Structure: relaxed

Cell and atoms, written as extended XYZ:
```
5
Lattice="3.8050 0.0000 0.0000 0.0000 3.8050 0.0000 0.0000 0.0000 3.7771" Properties=species:S:1:pos:R:3 pbc="T T T"
Ni 1.9025 0.0000 0.0000
Ni 0.0000 1.9025 0.0000
Al 1.9025 1.9025 1.8885
H 0.0000 0.0000 0.0000
Ti 0.0000 0.0000 1.8885
```

Summary:
DOS at the Fermi energy = 4.14 states/eV/f.u.
Crystal system = tetragonal
Electronic total energy = -5.634 eV per atom